Entry 1:
Density functional theory data (GGA-PBE) for crystalline SrY2AgS4 at its relaxed geometry.

Calculated values
- Space-group type: Cmcm, No. 63
- Crystal system: orthorhombic

Unit cell a=4.0014 b=6.9701 c=13.8771 alpha=90.00 beta=90.00 gamma=106.68
With the nearest neighbours (Å) after each atom.
Atoms (fractional coordinates):
Sr (0.1275, 0.2550, 0.7500)  6 S 2.97-3.08
Sr (0.8725, 0.7450, 0.2500)  6 S 2.97-3.08
Y (0.3751, 0.7502, 0.5589)  6 S 2.73-2.90
Y (0.6249, 0.2498, 0.0589)  6 S 2.73-2.90
Y (0.6249, 0.2498, 0.4411)  6 S 2.73-2.90
Y (0.3751, 0.7502, 0.9411)  6 S 2.73-2.90
Ag (0.8530, 0.7060, 0.7500)  4 S 2.48-2.53
Ag (0.1470, 0.2940, 0.2500)  4 S 2.48-2.53
S (0.2714, 0.5428, 0.1122)  1 Ag 2.53, 1 Y 2.75
S (0.7286, 0.4572, 0.6122)  1 Ag 2.53, 1 Y 2.75
S (0.7286, 0.4572, 0.8878)  1 Ag 2.53, 1 Y 2.75
S (0.2714, 0.5428, 0.3878)  1 Ag 2.53, 1 Y 2.75
S (0.0000, 0.0000, 0.5000)  4 Y 2.73
S (0.0000, 0.0000, 0.0000)  4 Y 2.73
S (0.4633, 0.9267, 0.7500)  2 Ag 2.48
S (0.5367, 0.0733, 0.2500)  2 Ag 2.48

---

Entry 2:
Density functional theory data (GGA-PBE) for crystalline TaAgS2 at its relaxed geometry.

Calculated values
- Space-group type: P1, No. 1
- Crystal system: triclinic

Unit cell a=3.3140 b=5.9726 c=7.9112 alpha=100.25 beta=94.62 gamma=90.16
With the nearest neighbours (Å) after each atom.
Atoms (fractional coordinates):
Ta (0.0498, 0.2469, 0.7313)  6 S 2.44-2.62
Ta (0.5503, 0.6632, 0.7283)  6 S 2.44-2.63
Ag (0.3084, 0.9492, 0.2296)  2 S 2.52-2.53
Ag (0.1469, 0.4404, 0.2099)  3 S 2.44-2.65
S (0.0937, 0.9193, 0.9122)  3 Ta 2.51-2.62, 1 Ag 2.53
S (0.0136, 0.4899, 0.5128)  1 Ag 2.44, 3 Ta 2.44-2.48
S (0.5860, 0.4279, 0.9507)  3 Ta 2.44-2.51, 2 Ag 2.60-2.65
S (0.5084, 0.9932, 0.5480)  3 Ta 2.51-2.63, 1 Ag 2.52

---

Entry 3:
Density functional theory data (GGA-PBE) for crystalline TaAgS2 at its relaxed geometry.

Calculated values
- Space-group type: Fm-3m, No. 225
- Crystal system: cubic

Unit cell a=4.5042 b=4.5042 c=4.5042 alpha=60.00 beta=60.00 gamma=60.00
With the nearest neighbours (Å) after each atom.
Atoms (fractional coordinates):
S (0.2500, 0.2500, 0.2500)  4 Ta 2.76, 4 Ag 2.76
S (0.7500, 0.7500, 0.7500)  4 Ta 2.76, 4 Ag 2.76
Ag (0.0000, 0.0000, 0.0000)  8 S 2.76
Ta (0.5000, 0.5000, 0.5000)  8 S 2.76

---

Q: Which raw formation energy values were calculated for the entries above? A: -1672 -658 -4, in meV/atom.
Q: Which magnetic moment values were calculated for the entries above? A: 0.0 0.0 1.5, in Bohr magnetons per cell.
Q: Which raw total energy values were calculated for the entries above? A: -5.919 -6.397 -5.743, in eV per atom.